# CrGaB2Sb

A relaxed structure of CrGaB2Sb (PBE-GGA, the Alexandria database).

The structure in POSCAR format:
```
CrGaB2Sb
1.0
4.088 0.000 0.000
0.000 4.088 0.000
0.000 0.000 4.956
Cr Ga B Sb
1 1 2 1
direct
0.000 0.000 0.000
0.500 0.500 0.500
0.000 0.500 0.000
0.500 0.000 0.000
0.000 0.000 0.500
```

## Properties
formation energy (no corrections): 928 meV per atom
Fermi-level density of states: 2.62 states/eV/cell
size of the total moment: 0.0 μB per formula unit
calculated volume: 82.8 Å³/f.u.